Density functional theory data (PBE with a Hubbard U) for Li5Mn2NiO8 after structural relaxation.

Unit cell a=5.813 b=5.813 c=5.796 alpha=119.54 beta=119.54 gamma=59.09
Element x y z (fractional)
1 Li 0.000 0.000 0.000
2 Li 0.000 0.000 0.500
3 Li 0.000 0.500 0.000
4 Li 0.500 0.000 0.000
5 Li 0.500 0.500 0.000
6 Mn 0.000 0.500 0.500
7 Mn 0.500 0.000 0.500
8 Ni 0.500 0.500 0.500
9 O 0.243 0.243 0.264
10 O 0.245 0.718 0.717
11 O 0.250 0.250 0.727
12 O 0.282 0.755 0.283
13 O 0.718 0.245 0.717
14 O 0.750 0.750 0.273
15 O 0.755 0.282 0.283
16 O 0.757 0.757 0.736

Computed properties:
- DFT total energy (eV per atom) = -5.8266
- calculated volume (Å³/atom) = 8.7